Record 1
4
Lattice="-3.911 -1.170 -2.930 0.765 -2.213 -4.446 -1.290 -4.811 -0.667" Properties=species:S:1:pos:R:3 comment="DyMgScMn, relaxed, DFT GGA-PBE" e_tot_ev_per_atom=-5.3237 vol_a3_per_atom=22.43 dos_at_fermi_per_ev_fu=5.14 ef_kcal_per_mol_atoms=2.32 pbc="T T T"
Sc 0.000 0.000 0.000
Mg -3.327 -6.145 -6.032
Mn -1.109 -2.048 -2.011
Dy -2.218 -4.097 -4.021

***

Record 2
5
Lattice="-2.211 3.922 -0.190 -3.909 -2.219 -0.320 -3.657 0.863 6.953" Properties=species:S:1:pos:R:3 comment="TlIn2Se2, relaxed, DFT GGA-PBE" e_tot_ev_per_atom=-3.1238 formation_energy_uncorrected_mev_per_atom=-161 vol_a3_per_atom=29.37 dos_at_fermi_per_ev_fu=1.72 relative_energy_mev_per_atom=195 pbc="T T T"
Tl 0.000 0.000 0.000
Se -3.166 0.854 1.023
Se -6.611 1.713 5.421
In -4.464 2.818 3.254
In -5.313 -0.252 3.189